1.
Material: P3IN
Method: DFT, GGA-PBE
State: optimized geometry

Values from the calculation:
**ΔE to the lowest computed polymorph**: 1.6526 eV per atom
**Energy relative to the elements, uncorrected**: 2.912 eV/atom
**Density of states at the Fermi level**: 1.888 states/eV/atom
**Energy**: -2.31 eV per atom

a b c (Å): 5.106 5.106 5.106
angles (deg): 90.00 90.00 90.00
Sites, in units of the cell vectors:
I 0.000 0.000 0.000
P 0.000 0.500 0.000
P 0.000 0.000 0.500
P 0.500 0.000 0.000
N 0.500 0.500 0.500



2.
Material: P2IN
Method: DFT, GGA-PBE
State: optimized geometry

Values from the calculation:
**ΔE to the lowest computed polymorph**: 1.0652 eV per atom
**Energy relative to the elements, uncorrected**: 1.956 eV/atom
**Density of states at the Fermi level**: 0.639 states/eV/atom
**Energy**: -3.22 eV per atom

a b c (Å): 4.534 4.534 4.534
angles (deg): 60.00 60.00 60.00
Sites, in units of the cell vectors:
I 0.500 0.500 0.500
P 0.250 0.250 0.250
P 0.750 0.750 0.750
N 0.000 0.000 0.000



3.
Material: PI2N2
Method: DFT, GGA-PBE
State: optimized geometry

Values from the calculation:
**ΔE to the lowest computed polymorph**: 0.0000 eV per atom
**Energy relative to the elements, uncorrected**: 1.420 eV/atom
**Density of states at the Fermi level**: 0.208 states/eV/atom
**Energy**: -3.61 eV per atom

a b c (Å): 6.504 6.504 3.221
angles (deg): 90.00 90.00 90.00
Site moments in Bohr magnetons follow the coordinates.
Sites, in units of the cell vectors:
I 0.000 0.500 0.000  0.05
I 0.500 0.000 0.000  0.05
P 0.000 0.000 0.000  0.00
N 0.500 0.500 0.500  1.89
N 0.000 0.000 0.500  0.00



4.
Material: Pa2P2IN6
Method: DFT, GGA-PBE
State: optimized geometry

Values from the calculation:
**Energy relative to the elements, uncorrected**: -0.799 eV/atom
**Density of states at the Fermi level**: 0.396 states/eV/atom
**Energy**: -8.19 eV per atom

a b c (Å): 6.082 6.137 6.548
angles (deg): 115.76 89.98 60.27
Sites, in units of the cell vectors:
Pa 0.830 0.340 0.801
Pa 0.170 0.660 0.199
P 0.179 0.641 0.735
P 0.821 0.359 0.265
I 0.500 0.000 0.500
N 0.391 0.645 0.884
N 0.036 0.355 0.116
N 0.092 0.816 0.594
N 0.964 0.645 0.884
N 0.908 0.184 0.406
N 0.609 0.355 0.116



5.
Material: PPbIN2
Method: DFT, GGA-PBE
State: optimized geometry

Values from the calculation:
**ΔE to the lowest computed polymorph**: 0.4639 eV per atom
**Energy relative to the elements, uncorrected**: 1.936 eV/atom
**Density of states at the Fermi level**: 0.551 states/eV/atom
**Energy**: -3.53 eV per atom

a b c (Å): 4.417 4.417 7.255
angles (deg): 90.00 90.00 90.00
Site moments in Bohr magnetons follow the coordinates.
Sites, in units of the cell vectors:
Pb 0.000 0.000 0.000  -0.08
I 0.000 0.000 0.500  0.01
N 0.000 0.500 0.000  0.89
N 0.500 0.000 0.000  0.89
P 0.500 0.500 0.500  0.48



6.
Material: PPbIN2
Method: DFT, GGA-PBE
State: optimized geometry

Values from the calculation:
**ΔE to the lowest computed polymorph**: 0.0000 eV per atom
**Energy relative to the elements, uncorrected**: 1.472 eV/atom
**Density of states at the Fermi level**: 0.317 states/eV/atom
**Energy**: -3.99 eV per atom

a b c (Å): 4.119 4.119 6.288
angles (deg): 90.00 90.00 90.00
Site moments in Bohr magnetons follow the coordinates.
Sites, in units of the cell vectors:
Pb 0.500 0.500 0.500  -0.05
I 0.000 0.000 0.500  -0.01
N 0.000 0.500 0.000  0.47
N 0.500 0.000 0.000  0.47
P 0.000 0.000 0.000  -0.05



> Which value of density of states at the Fermi level does entry 3 give?

0.208 states/eV/atom



What did the first record say?
Material: P3IN
Method: DFT, GGA-PBE
State: optimized geometry

Values from the calculation:
**ΔE to the lowest computed polymorph**: 1.6526 eV per atom
**Energy relative to the elements, uncorrected**: 2.912 eV/atom
**Density of states at the Fermi level**: 1.888 states/eV/atom
**Energy**: -2.31 eV per atom

a b c (Å): 5.106 5.106 5.106
angles (deg): 90.00 90.00 90.00
Sites, in units of the cell vectors:
I 0.000 0.000 0.000
P 0.000 0.500 0.000
P 0.000 0.000 0.500
P 0.500 0.000 0.000
N 0.500 0.500 0.500



> Which of these has the highest energy?

P3IN